# 1
# La2Pm3NdTm6 PBE optimized geometry
# - Space group: C2/m
# - Energy of formation from the pure elements: 1.7 kJ/mol of atoms
# - Crystal system: monoclinic
data_La2Pm3NdTm6
_cell_length_a 6.2366
_cell_length_b 6.2366
_cell_length_c 11.7420
_cell_angle_alpha 95.07
_cell_angle_beta 95.07
_cell_angle_gamma 119.97
_space_group_name_H-M_alt 'P 1'
_space_group_IT_number 1
loop_
_space_group_symop_operation_xyz
'x,y,z'
loop_
_atom_site_label
_atom_site_type_symbol
_atom_site_fract_x
_atom_site_fract_y
_atom_site_fract_z
La1 La 0.1668 0.8332 0.0000
La2 La 0.8332 0.1668 0.0000
Pm1 Pm 0.0000 0.0000 0.5000
Pm2 Pm 0.3335 0.6665 0.5000
Pm3 Pm 0.6665 0.3335 0.5000
Nd1 Nd 0.5000 0.5000 0.0000
Tm1 Tm 0.0830 0.4157 0.7477
Tm2 Tm 0.2516 0.2516 0.2522
Tm3 Tm 0.4157 0.0830 0.7477
Tm4 Tm 0.5843 0.9170 0.2523
Tm5 Tm 0.7484 0.7484 0.7478
Tm6 Tm 0.9170 0.5843 0.2523

=====

# 2
# LaPm2NdTm4 PBE optimized geometry
# - Space group: Imma
# - Energy of formation from the pure elements: 39.0 kJ/mol of atoms
# - Crystal system: orthorhombic
data_LaPm2NdTm4
_cell_length_a 9.5208
_cell_length_b 9.5208
_cell_length_c 9.5208
_cell_angle_alpha 138.28
_cell_angle_beta 102.77
_cell_angle_gamma 91.87
_space_group_name_H-M_alt 'P 1'
_space_group_IT_number 1
loop_
_space_group_symop_operation_xyz
'x,y,z'
loop_
_atom_site_label
_atom_site_type_symbol
_atom_site_fract_x
_atom_site_fract_y
_atom_site_fract_z
La1 La 0.5000 0.0000 0.0000
La2 La 0.5000 0.5000 0.5000
Pm1 Pm 0.0000 0.0000 0.0000
Pm2 Pm 0.0000 0.0000 0.5000
Pm3 Pm 0.0000 0.5000 0.0000
Pm4 Pm 0.5000 0.0000 0.5000
Nd1 Nd 0.0000 0.5000 0.5000
Nd2 Nd 0.5000 0.5000 0.0000
Tm1 Tm 0.2485 0.2499 0.9986
Tm2 Tm 0.2487 0.7501 0.4986
Tm3 Tm 0.2499 0.2497 0.4998
Tm4 Tm 0.2499 0.7501 0.0002
Tm5 Tm 0.7501 0.2499 0.9998
Tm6 Tm 0.7501 0.7503 0.5002
Tm7 Tm 0.7513 0.2499 0.5014
Tm8 Tm 0.7515 0.7501 0.0014

=====

# 3
# La2PmNdTm2 PBE optimized geometry
# - Space group: Pmc2_1
# - Energy of formation from the pure elements: 2.2 kJ/mol of atoms
# - Crystal system: orthorhombic
data_La2PmNdTm2
_cell_length_a 5.1494
_cell_length_b 10.9259
_cell_length_c 7.2309
_cell_angle_alpha 90.00
_cell_angle_beta 90.00
_cell_angle_gamma 90.00
_space_group_name_H-M_alt 'P 1'
_space_group_IT_number 1
loop_
_space_group_symop_operation_xyz
'x,y,z'
loop_
_atom_site_label
_atom_site_type_symbol
_atom_site_fract_x
_atom_site_fract_y
_atom_site_fract_z
La1 La 0.0000 0.0022 0.0000
La2 La 0.0000 0.9978 0.5000
La3 La 0.5000 0.1680 0.2535
La4 La 0.5000 0.8320 0.7535
Pm1 Pm 0.5000 0.4969 0.7579
Pm2 Pm 0.5000 0.5031 0.2579
Nd1 Nd 0.0000 0.3361 0.5048
Nd2 Nd 0.0000 0.6639 0.0048
Tm1 Tm 0.0000 0.3341 0.0048
Tm2 Tm 0.0000 0.6659 0.5048
Tm3 Tm 0.5000 0.1722 0.7529
Tm4 Tm 0.5000 0.8278 0.2529

=====

# 4
# LaPmNd2Tm4 PBE optimized geometry
# - Space group: Imma
# - Energy of formation from the pure elements: 38.7 kJ/mol of atoms
# - Crystal system: orthorhombic
data_LaPmNd2Tm4
_cell_length_a 9.5278
_cell_length_b 9.5278
_cell_length_c 9.5278
_cell_angle_alpha 138.27
_cell_angle_beta 102.77
_cell_angle_gamma 91.88
_space_group_name_H-M_alt 'P 1'
_space_group_IT_number 1
loop_
_space_group_symop_operation_xyz
'x,y,z'
loop_
_atom_site_label
_atom_site_type_symbol
_atom_site_fract_x
_atom_site_fract_y
_atom_site_fract_z
La1 La 0.5000 0.0000 0.0000
La2 La 0.5000 0.5000 0.5000
Pm1 Pm 0.0000 0.0000 0.0000
Pm2 Pm 0.5000 0.0000 0.5000
Nd1 Nd 0.0000 0.0000 0.5000
Nd2 Nd 0.0000 0.5000 0.0000
Nd3 Nd 0.0000 0.5000 0.5000
Nd4 Nd 0.5000 0.5000 0.0000
Tm1 Tm 0.2495 0.2498 0.9997
Tm2 Tm 0.2499 0.7502 0.4997
Tm3 Tm 0.2507 0.2505 0.4998
Tm4 Tm 0.2507 0.7508 0.0002
Tm5 Tm 0.7493 0.2492 0.9998
Tm6 Tm 0.7493 0.7495 0.5002
Tm7 Tm 0.7501 0.2498 0.5003
Tm8 Tm 0.7505 0.7502 0.0003